## NdErMg2 (PBEsol)

Data for a geometry-optimized NdErMg2 structure.

Calculated volume   107.3 Å³ per cell
DFT total energy   -0.127 hartree per atom
Total magnetic moment   0.00 μB per cell
ΔH_f (0 K)   -81 meV/atom

```
4
Lattice="0.000 3.771 3.771 3.771 0.000 3.771 3.771 3.771 0.000" Properties=species:S:1:pos:R:3 pbc="T T T"
Nd 0.000 0.000 0.000
Er 3.771 3.771 3.771
Mg 1.886 1.886 1.886
Mg 5.657 5.657 5.657
```

***

## MgAlAg2 (PBEsol)

Data for a geometry-optimized MgAlAg2 structure.

Calculated volume   68.3 Å³ per cell
DFT total energy   -0.118 hartree per atom
Total magnetic moment   0.00 μB per cell
Energy above the most stable polymorph in this dataset   90 meV per atom
ΔH_f (0 K)   -112 meV/atom

```
4
Lattice="2.901 0.000 0.000 0.000 4.277 0.000 -1.332 0.000 5.501" Properties=species:S:1:pos:R:3 pbc="T T T"
Mg 0.000 0.000 0.000
Al 0.785 0.000 2.750
Ag -0.046 2.138 4.068
Ag 1.616 2.138 1.433
```

***

> Which formula does entry 1 have?

NdErMg2